DFT (GGA-PBE) results for a relaxed structure of NaTcRu3.

a = 4.331 Å, b = 4.331 Å, c = 4.331 Å
α = 90.00°, β = 90.00°, γ = 90.00°
Fractional coordinates of all 5 atoms:
Na 0.000 0.000 0.000
Ru 0.000 0.000 0.500
Ru 0.000 0.500 0.000
Ru 0.500 0.000 0.000
Tc 0.500 0.500 0.500

- Space group: Pm-3m, No. 221
- Energy: -5.4894 eV/atom
- ΔE_f: 2.413 eV/atom
- Polymorph energy (0 for the lowest one): 1009 meV/atom

---

DFT (GGA-PBE) results for a relaxed structure of Eu6Ho.

a = 7.214 Å, b = 7.214 Å, c = 7.214 Å
α = 109.47°, β = 109.47°, γ = 109.47°
Fractional coordinates of all 7 atoms:
Ho 0.000 0.000 0.000
Eu 0.750 0.250 0.500
Eu 0.500 0.750 0.250
Eu 0.250 0.750 0.500
Eu 0.500 0.250 0.750
Eu 0.250 0.500 0.750
Eu 0.750 0.500 0.250

- Space group: Im-3m, No. 229
- Energy: -8.3184 eV/atom
- ΔE_f: 1.142 eV/atom

---

DFT (GGA-PBE) results for a relaxed structure of Zr2NbPb.

a = 3.657 Å, b = 3.657 Å, c = 6.568 Å
α = 90.00°, β = 90.00°, γ = 90.00°
Fractional coordinates of all 4 atoms:
Zr 0.000 0.000 0.765
Zr 0.000 0.000 0.235
Pb 0.500 0.500 0.500
Nb 0.500 0.500 0.000

- Space group: P4/mmm, No. 123
- Energy: -7.8449 eV/atom
- ΔE_f: -0.126 eV/atom

---

DFT (GGA-PBE) results for a relaxed structure of MnZnRuAu.

a = 4.371 Å, b = 4.371 Å, c = 4.371 Å
α = 60.00°, β = 60.00°, γ = 60.00°
Fractional coordinates of all 4 atoms:
Au 0.250 0.250 0.250
Ru 0.750 0.750 0.750
Zn 0.000 0.000 0.000
Mn 0.500 0.500 0.500

- Space group: F-43m, No. 216
- Energy: -5.7357 eV/atom
- ΔE_f: 0.014 eV/atom

---

Number 1: Fermi-level density of states 1.40 states/eV per atom. Number 2: Fermi-level density of states 1.79 states/eV per atom. Number 3: Fermi-level density of states 0.88 states/eV per atom. Number 4: Fermi-level density of states 0.78 states/eV per atom.